# 1
{
  "formula": "K3Np2BiTe6",
  "functional": "PBE",
  "state": "relaxed",
  "cell": [[7.9599, -0.0004, 0.0018], [-3.9783, 6.8944, 0.0018], [-1.3259, -2.2959, 8.2101]],
  "species": ["Te", "Te", "Te", "Te", "Te", "Te", "K", "K", "K", "Np", "Np", "Bi"],
  "frac_coords": [[0.9297, 0.5923, 0.7892], [0.5923, 0.9297, 0.7892], [0.4077, 0.0703, 0.2108], [0.0703, 0.4077, 0.2108], [0.2678, 0.2678, 0.7902], [0.7322, 0.7322, 0.2098], [0.8358, 0.1642, 0.5000], [0.5000, 0.5000, 0.5000], [0.1642, 0.8358, 0.5000], [0.3330, 0.6670, 0.0000], [0.6670, 0.3330, 0.0000], [0.0000, 0.0000, 0.0000]],
  "dft_energy_ev_per_cell": -61.45,
  "volume_a3_per_cell": 450.6,
  "n_ef_per_ev_fu": 15.90,
  "spacegroup": "C2/m"
}

# 2
{
  "formula": "Rb2PaTe4Pd2",
  "functional": "PBE",
  "state": "relaxed",
  "cell": [[4.3533, 0.0000, 0.0000], [0.0000, 8.7766, 0.6670], [-2.1767, -2.8903, 7.2979]],
  "species": ["Rb", "Rb", "Te", "Te", "Te", "Te", "Pd", "Pd", "Pa"],
  "frac_coords": [[0.1372, 0.5707, 0.2743], [0.8628, 0.4293, 0.7257], [0.5113, 0.7598, 0.0227], [0.4887, 0.2402, 0.9773], [0.1971, 0.1752, 0.3943], [0.8029, 0.8248, 0.6057], [0.6738, 0.9863, 0.3476], [0.3262, 0.0137, 0.6524], [0.0000, 0.0000, 0.0000]],
  "dft_energy_ev_per_cell": -41.90,
  "volume_a3_per_cell": 287.2,
  "n_ef_per_ev_fu": 4.09,
  "spacegroup": "C2/m"
}

# 3
{
  "formula": "PrEuScIn",
  "functional": "PBE",
  "state": "relaxed",
  "cell": [[-2.4364, -2.3102, -4.3139], [-3.7940, -3.8637, 0.7484], [-5.2497, 1.0793, -1.0767]],
  "species": ["Eu", "Pr", "Sc", "In"],
  "frac_coords": [[0.2500, 0.2500, 0.2500], [0.5000, 0.5000, 0.5000], [0.0000, 0.0000, 0.0000], [0.7500, 0.7500, 0.7500]],
  "dft_energy_ev_per_cell": -24.56,
  "volume_a3_per_cell": 115.5,
  "n_ef_per_ev_fu": 6.73,
  "spacegroup": "F-43m"
}

Q: Which formula does entry 3 have?
A: PrEuScIn

Q: Which formula does entry 2 have?
A: Rb2PaTe4Pd2

Q: Number 2 is which compound?
A: Rb2PaTe4Pd2

Q: Which formula does entry 1 have?
A: K3Np2BiTe6